30
Lattice="-2.826 3.956 8.420 2.826 -3.956 8.420 2.826 3.956 -8.420" Properties=species:S:1:pos:R:3 comment="Sr3Co2TeO9 | Alexandria via LeMat-Bulk | PBE with a Hubbard U | optimized geometry" e_tot_ev_per_cell=-181.0 spacegroup="Immm, No. 71" crystal_system=orthorhombic pbc="T T T"
Sr 2.826 1.948 -2.728
Sr 0.000 1.940 0.000
Sr 2.826 1.948 2.728
Sr 0.000 2.007 5.692
Sr 0.000 5.971 0.000
Sr 0.000 2.007 11.148
Co 2.826 0.000 0.000
Co 0.000 0.000 2.640
Co 0.000 0.000 8.420
Co 0.000 0.000 14.200
Te 2.826 0.000 5.576
Te 0.000 3.956 2.844
O 1.421 0.000 1.400
O 4.230 0.000 1.400
O 2.826 -1.942 5.597
O 1.450 0.000 4.214
O 4.202 0.000 4.214
O 2.826 2.082 0.000
O 1.365 3.956 -1.474
O 1.461 0.000 6.945
O 0.000 2.014 2.822
O 2.826 1.942 5.597
O 1.365 3.956 1.474
O 1.461 0.000 9.894
O 0.000 1.873 8.420
O -1.376 3.956 4.205
O 1.376 3.956 4.205
O 0.000 5.897 2.822
O -1.404 3.956 7.020
O 1.404 3.956 7.020